1.
! GGA-PBEsol ZrTc2Ru, relaxed; values from VASP
! E above lowest polymorph: 13.1 meV/atom
! Space-group type: F-43m (216)
! Energy relative to the elements: 0.001 eV per atom
! Energy: -10.45 eV/atom
&SYSTEM
  ibrav = 0, nat = 4, ntyp = 3
/
ATOMIC_SPECIES
Zr 91.22 Zr.upf
Tc 98.00 Tc.upf
Ru 101.07 Ru.upf
CELL_PARAMETERS angstrom
4.4249 0.0000 0.0000
2.2125 3.8321 0.0000
2.2125 1.2774 3.6129
ATOMIC_POSITIONS crystal
Zr 0.5000 0.5000 0.5000
Tc 0.0000 0.0000 0.0000
Tc 0.7500 0.7500 0.7500
Ru 0.2500 0.2500 0.2500

2.
! GGA-PBEsol SrZn2Ni, relaxed; values from VASP
! Space-group type: Cmcm (63)
! Energy relative to the elements: -0.222 eV per atom
! Energy: -3.01 eV/atom
&SYSTEM
  ibrav = 0, nat = 8, ntyp = 3
/
ATOMIC_SPECIES
Sr 87.62 Sr.upf
Zn 65.41 Zn.upf
Ni 58.69 Ni.upf
CELL_PARAMETERS angstrom
3.9958 0.0000 0.0000
-1.9979 5.3491 0.0000
0.0000 0.0000 7.2408
ATOMIC_POSITIONS crystal
Sr 0.4530 0.9059 0.2500
Zn 0.8189 0.6378 0.5646
Zn 0.1811 0.3622 0.4354
Sr 0.5470 0.0941 0.7500
Zn 0.8189 0.6378 0.9354
Ni 0.2714 0.5428 0.7500
Ni 0.7286 0.4572 0.2500
Zn 0.1811 0.3622 0.0646

3.
! GGA-PBEsol CdTeRu2, relaxed; values from VASP
! Formation energy (no corrections): 0.494 eV/atom
! E above lowest polymorph: 149.9 meV/atom
! Space-group type: P2/m (10)
! Energy: -5.77 eV/atom
&SYSTEM
  ibrav = 0, nat = 4, ntyp = 3
/
ATOMIC_SPECIES
Cd 112.41 Cd.upf
Ru 101.07 Ru.upf
Te 127.60 Te.upf
CELL_PARAMETERS angstrom
-0.1235 -2.5923 -1.5580
2.9930 1.3348 -2.4582
3.8166 -0.9603 4.1256
ATOMIC_POSITIONS crystal
Cd 0.0000 0.5000 0.5000
Ru 0.6377 0.0000 0.7668
Ru 0.3623 0.0000 0.2332
Te 0.5000 0.5000 0.0000

4.
! GGA-PBEsol Co3SbMo, relaxed; values from VASP
! Formation energy (no corrections): 1.717 eV/atom
! E above lowest polymorph: 427.5 meV/atom
! Space-group type: Pm-3m (221)
! Energy: -6.19 eV/atom
&SYSTEM
  ibrav = 0, nat = 5, ntyp = 3
/
ATOMIC_SPECIES
Co 58.93 Co.upf
Sb 121.76 Sb.upf
Mo 95.94 Mo.upf
CELL_PARAMETERS angstrom
4.4493 0.0000 0.0000
0.0000 4.4493 0.0000
0.0000 0.0000 4.4493
ATOMIC_POSITIONS crystal
Co 0.5000 0.0000 0.0000
Co 0.0000 0.5000 0.0000
Sb 0.0000 0.0000 0.0000
Mo 0.5000 0.5000 0.5000
Co 0.0000 0.0000 0.5000

5.
! GGA-PBEsol Ta2CS2, relaxed; values from VASP
! Formation energy (no corrections): -1.001 eV/atom
! Space-group type: R-3m (166)
! Energy: -9.70 eV/atom
&SYSTEM
  ibrav = 0, nat = 5, ntyp = 3
/
ATOMIC_SPECIES
Ta 180.95 Ta.upf
S 32.06 S.upf
C 12.01 C.upf
CELL_PARAMETERS angstrom
-0.1911 -3.2324 0.2735
1.5140 -1.5162 2.4430
-6.7299 -0.7385 5.8736
ATOMIC_POSITIONS crystal
Ta 0.3782 0.3782 0.8654
S 0.2268 0.2268 0.3195
S 0.7732 0.7732 0.6805
C 0.0000 0.0000 0.0000
Ta 0.6218 0.6218 0.1346

6.
! GGA-PBEsol Bi2Pt, relaxed; values from VASP
! Space-group type: P31m (157)
! Energy relative to the elements: -0.239 eV per atom
! Energy: -5.42 eV/atom
&SYSTEM
  ibrav = 0, nat = 9, ntyp = 2
/
ATOMIC_SPECIES
Pt 195.08 Pt.upf
Bi 208.98 Bi.upf
CELL_PARAMETERS angstrom
6.1145 0.0000 0.0000
0.0000 6.5782 0.0000
0.0000 -3.2891 5.6969
ATOMIC_POSITIONS crystal
Pt 0.0002 0.7417 0.7417
Bi 0.2749 0.3934 0.3934
Bi 0.6477 0.0000 0.0000
Bi 0.7844 0.3333 0.6667
Pt 0.0002 0.2583 0.0000
Pt 0.0002 0.0000 0.2583
Bi 0.2749 0.0000 0.6066
Bi 0.7844 0.6667 0.3333
Bi 0.2749 0.6066 0.0000

7.
! GGA-PBEsol MnCd2Ni, relaxed; values from VASP
! E above lowest polymorph: 0.0 meV/atom
! Space-group type: Cm (8)
! Energy relative to the elements: 0.194 eV per atom
! Energy: -4.38 eV/atom
&SYSTEM
  ibrav = 0, nat = 4, ntyp = 3
/
ATOMIC_SPECIES
Cd 112.41 Cd.upf
Ni 58.69 Ni.upf
Mn 54.94 Mn.upf
CELL_PARAMETERS angstrom
3.0574 0.0000 0.0000
0.0000 4.5477 -0.1354
-1.5287 -2.1201 4.5769
ATOMIC_POSITIONS crystal
Cd 0.7584 0.2591 0.5169
Ni 0.2331 0.7341 0.4662
Mn 0.5292 0.5283 0.0583
Cd 0.9793 0.9785 0.9586

8.
! GGA-PBEsol LiIn3, relaxed; values from VASP
! Space-group type: Pm-3m (221)
! Energy relative to the elements: -0.173 eV per atom
! Energy: -2.90 eV/atom
&SYSTEM
  ibrav = 0, nat = 4, ntyp = 2
/
ATOMIC_SPECIES
In 114.82 In.upf
Li 6.94 Li.upf
CELL_PARAMETERS angstrom
-3.8111 -0.4130 -2.3208
2.3549 -0.4677 -3.7838
0.1065 -4.4376 0.6148
ATOMIC_POSITIONS crystal
In 0.5000 0.0000 0.5000
Li 0.0000 0.0000 0.0000
In 0.5000 0.5000 0.0000
In 0.0000 0.5000 0.5000

9.
! GGA-PBEsol RuSN2F, relaxed; values from VASP
! Formation energy (no corrections): 0.678 eV/atom
! E above lowest polymorph: 0.0 meV/atom
! Space-group type: P4/mmm (123)
! Energy: -6.03 eV/atom
&SYSTEM
  ibrav = 0, nat = 5, ntyp = 4
/
ATOMIC_SPECIES
N 14.01 N.upf
F 19.00 F.upf
S 32.06 S.upf
Ru 101.07 Ru.upf
CELL_PARAMETERS angstrom
3.8188 0.0000 0.0000
0.0000 3.8188 0.0000
0.0000 0.0000 3.9378
ATOMIC_POSITIONS crystal
N 0.0000 0.5000 0.0000
F 0.0000 0.0000 0.5000
S 0.5000 0.5000 0.5000
Ru 0.0000 0.0000 0.0000
N 0.5000 0.0000 0.0000

10.
! GGA-PBEsol MnMo2Pt, relaxed; values from VASP
! E above lowest polymorph: 43.5 meV/atom
! Space-group type: Pmmm (47)
! Energy relative to the elements: -0.063 eV per atom
! Energy: -10.13 eV/atom
&SYSTEM
  ibrav = 0, nat = 4, ntyp = 3
/
ATOMIC_SPECIES
Mn 54.94 Mn.upf
Mo 95.94 Mo.upf
Pt 195.08 Pt.upf
CELL_PARAMETERS angstrom
-2.2124 0.0966 -1.5377
-0.8072 -3.5963 0.9353
-2.8926 1.7603 4.2724
ATOMIC_POSITIONS crystal
Mn 0.5000 0.5000 0.5000
Mo 0.0000 0.0000 0.7280
Pt 0.5000 0.5000 0.0000
Mo 0.0000 0.0000 0.2720

11.
! GGA-PBEsol K2ZrRe, relaxed; values from VASP
! E above lowest polymorph: 0.0 meV/atom
! Space-group type: Pmmm (47)
! Energy relative to the elements: 1.173 eV per atom
! Energy: -5.00 eV/atom
&SYSTEM
  ibrav = 0, nat = 4, ntyp = 3
/
ATOMIC_SPECIES
Re 186.21 Re.upf
Zr 91.22 Zr.upf
K 39.10 K.upf
CELL_PARAMETERS angstrom
-0.0404 -2.7595 -1.5852
1.0695 -2.2618 3.9102
-6.1706 -0.6599 1.3060
ATOMIC_POSITIONS crystal
Re 0.5000 0.0000 0.5000
Zr 0.0000 0.5000 0.5000
K 0.0000 0.0000 0.0000
K 0.5000 0.5000 0.0000

12.
! GGA-PBEsol ZnCo2Si, relaxed; values from VASP
! Formation energy (no corrections): -0.447 eV/atom
! Space-group type: P4/mmm (123)
! Energy: -6.15 eV/atom
&SYSTEM
  ibrav = 0, nat = 4, ntyp = 3
/
ATOMIC_SPECIES
Si 28.09 Si.upf
Zn 65.41 Zn.upf
Co 58.93 Co.upf
CELL_PARAMETERS angstrom
2.6969 0.0000 0.0000
0.0000 2.6969 0.0000
0.0000 0.0000 5.9315
ATOMIC_POSITIONS crystal
Si 0.5000 0.5000 0.0000
Zn 0.5000 0.5000 0.5000
Co 0.0000 0.0000 0.2237
Co 0.0000 0.0000 0.7763